Entry 1:
Here is Co2BiTe2 after structural relaxation from OQMD. Energies are from PBE.

Cell and atoms, written as extended XYZ:
```
10
Lattice="3.759 0.000 0.000 0.000 3.759 0.000 0.000 0.000 15.176" Properties=species:S:1:pos:R:3 pbc="T T T"
Co 0.000 1.879 3.794
Co 0.000 1.879 11.382
Co 1.879 0.000 3.794
Co 1.879 0.000 11.382
Bi 0.000 0.000 0.000
Bi 1.879 1.879 7.588
Te 0.000 0.000 5.408
Te 0.000 0.000 9.768
Te 1.879 1.879 2.180
Te 1.879 1.879 12.996
```

## Properties
Crystal system ... tetragonal
Total magnetic moment ... 0.01 μB per formula unit
SG ... I4/mmm
Theoretical density ... 9.0 g/cm³

---

Entry 2:
Here is Co2Bi8Te after structural relaxation from OQMD. Energies are from PBE.

Cell and atoms, written as extended XYZ:
```
44
Lattice="11.233 0.000 0.000 0.000 11.233 0.000 0.000 0.000 9.667" Properties=species:S:1:pos:R:3 pbc="T T T"
Co 2.304 2.304 2.304
Co 2.304 2.304 7.363
Co 3.312 7.921 2.530
Co 3.312 7.921 7.137
Co 7.921 3.312 2.530
Co 7.921 3.312 7.137
Co 8.929 8.929 2.304
Co 8.929 8.929 7.363
Bi 0.000 0.000 3.208
Bi 0.000 0.000 6.459
Bi 0.508 8.023 2.074
Bi 0.508 8.023 7.593
Bi 1.183 1.183 0.000
Bi 2.179 2.179 4.833
Bi 2.213 9.019 4.833
Bi 2.407 5.109 2.759
Bi 2.407 5.109 6.908
Bi 3.210 10.725 2.074
Bi 3.210 10.725 7.593
Bi 3.403 3.403 0.000
Bi 3.437 7.796 0.000
Bi 4.433 6.800 4.833
Bi 5.109 2.407 2.759
Bi 5.109 2.407 6.908
Bi 5.616 5.616 1.626
Bi 5.616 5.616 8.041
Bi 6.124 8.826 2.759
Bi 6.124 8.826 6.908
Bi 6.800 4.433 4.833
Bi 7.796 3.437 0.000
Bi 7.830 7.830 0.000
Bi 8.023 0.508 2.074
Bi 8.023 0.508 7.593
Bi 8.826 6.124 2.759
Bi 8.826 6.124 6.908
Bi 9.019 2.213 4.833
Bi 9.054 9.054 4.833
Bi 10.050 10.050 0.000
Bi 10.725 3.210 2.074
Bi 10.725 3.210 7.593
Te 0.000 5.616 0.000
Te 0.000 5.616 4.833
Te 5.616 0.000 0.000
Te 5.616 0.000 4.833
```

## Properties
Crystal system ... tetragonal
Total magnetic moment ... 0.01 μB per formula unit
SG ... P4_2/mnm
Theoretical density ... 10.4 g/cm³

---

Entry 3:
Here is CoBi2Te after structural relaxation from OQMD. Energies are from PBE.

Cell and atoms, written as extended XYZ:
```
16
Lattice="7.364 0.000 0.000 0.000 7.364 0.000 0.000 0.000 7.364" Properties=species:S:1:pos:R:3 pbc="T T T"
Co 0.000 0.000 0.000
Co 0.000 3.682 3.682
Co 3.682 0.000 3.682
Co 3.682 3.682 0.000
Bi 0.000 0.000 3.682
Bi 0.000 3.682 0.000
Bi 1.841 1.841 1.841
Bi 1.841 5.523 5.523
Bi 3.682 0.000 0.000
Bi 3.682 3.682 3.682
Bi 5.523 1.841 5.523
Bi 5.523 5.523 1.841
Te 1.841 1.841 5.523
Te 1.841 5.523 1.841
Te 5.523 1.841 1.841
Te 5.523 5.523 5.523
```

## Properties
Crystal system ... cubic
Total magnetic moment ... 1.57 μB per formula unit
SG ... F-43m
Theoretical density ... 10.1 g/cm³

---

Entry 4:
Here is Tm6CoBi2 after structural relaxation from OQMD. Energies are from PBE.

Cell and atoms, written as extended XYZ:
```
9
Lattice="8.261 0.000 0.000 -4.131 7.155 0.000 0.000 0.000 4.052" Properties=species:S:1:pos:R:3 pbc="T T T"
Tm -0.954 1.653 0.000
Tm -2.518 4.361 2.026
Tm 1.908 0.000 0.000
Tm 1.613 2.793 2.026
Tm 5.036 0.000 2.026
Tm 3.177 5.502 0.000
Co 0.000 0.000 2.026
Bi 0.000 4.770 0.000
Bi 4.131 2.385 0.000
```

## Properties
Crystal system ... hexagonal
Total magnetic moment ... 0.15 μB per formula unit
SG ... P-62m
Theoretical density ... 10.3 g/cm³

---

Entry 5:
Here is CoBiW2 after structural relaxation from OQMD. Energies are from PBE.

Cell and atoms, written as extended XYZ:
```
16
Lattice="6.450 0.000 0.000 0.000 6.450 0.000 0.000 0.000 6.450" Properties=species:S:1:pos:R:3 pbc="T T T"
Co 0.000 0.000 0.000
Co 0.000 3.225 3.225
Co 3.225 0.000 3.225
Co 3.225 3.225 0.000
Bi 1.612 1.612 4.837
Bi 1.612 4.837 1.612
Bi 4.837 1.612 1.612
Bi 4.837 4.837 4.837
W 0.000 0.000 3.225
W 0.000 3.225 0.000
W 1.612 1.612 1.612
W 1.612 4.837 4.837
W 3.225 0.000 0.000
W 3.225 3.225 3.225
W 4.837 1.612 4.837
W 4.837 4.837 1.612
```

## Properties
Crystal system ... cubic
Total magnetic moment ... 1.89 μB per formula unit
SG ... F-43m
Theoretical density ... 15.7 g/cm³

---

Entry 6:
Here is CoBiW after structural relaxation from OQMD. Energies are from PBE.

Cell and atoms, written as extended XYZ:
```
12
Lattice="6.060 0.000 0.000 0.000 6.060 0.000 0.000 0.000 6.060" Properties=species:S:1:pos:R:3 pbc="T T T"
Co 0.000 0.000 0.000
Co 0.000 3.030 3.030
Co 3.030 0.000 3.030
Co 3.030 3.030 0.000
Bi 1.515 1.515 4.545
Bi 1.515 4.545 1.515
Bi 4.545 1.515 1.515
Bi 4.545 4.545 4.545
W 1.515 1.515 1.515
W 1.515 4.545 4.545
W 4.545 1.515 4.545
W 4.545 4.545 1.515
```

## Properties
Crystal system ... cubic
Total magnetic moment ... 2.00 μB per formula unit
SG ... F-43m
Theoretical density ... 13.5 g/cm³

---

Entry 7:
Here is CoBi2W after structural relaxation from OQMD. Energies are from PBE.

Cell and atoms, written as extended XYZ:
```
16
Lattice="6.939 0.000 0.000 0.000 6.939 0.000 0.000 0.000 6.939" Properties=species:S:1:pos:R:3 pbc="T T T"
Co 0.000 0.000 0.000
Co 0.000 3.470 3.470
Co 3.470 0.000 3.470
Co 3.470 3.470 0.000
Bi 0.000 0.000 3.470
Bi 0.000 3.470 0.000
Bi 1.735 1.735 1.735
Bi 1.735 5.204 5.204
Bi 3.470 0.000 0.000
Bi 3.470 3.470 3.470
Bi 5.204 1.735 5.204
Bi 5.204 5.204 1.735
W 1.735 1.735 5.204
W 1.735 5.204 1.735
W 5.204 1.735 1.735
W 5.204 5.204 5.204
```

## Properties
Crystal system ... cubic
Total magnetic moment ... 1.63 μB per formula unit
SG ... F-43m
Theoretical density ... 13.1 g/cm³

---

Entry 8:
Here is ZnCoBiW after structural relaxation from OQMD. Energies are from PBE.

Cell and atoms, written as extended XYZ:
```
16
Lattice="6.475 0.000 0.000 0.000 6.475 0.000 0.000 0.000 6.475" Properties=species:S:1:pos:R:3 pbc="T T T"
Zn 0.000 0.000 0.000
Zn 0.000 3.237 3.237
Zn 3.237 0.000 3.237
Zn 3.237 3.237 0.000
Co 0.000 0.000 3.237
Co 0.000 3.237 0.000
Co 3.237 0.000 0.000
Co 3.237 3.237 3.237
Bi 1.619 1.619 1.619
Bi 1.619 4.856 4.856
Bi 4.856 1.619 4.856
Bi 4.856 4.856 1.619
W 1.619 1.619 4.856
W 1.619 4.856 1.619
W 4.856 1.619 1.619
W 4.856 4.856 4.856
```

## Properties
Crystal system ... cubic
Total magnetic moment ... 2.03 μB per formula unit
SG ... F-43m
Theoretical density ... 12.7 g/cm³

---

Entry 9:
Here is ZnCoBiW after structural relaxation from OQMD. Energies are from PBE.

Cell and atoms, written as extended XYZ:
```
16
Lattice="6.446 0.000 0.000 0.000 6.446 0.000 0.000 0.000 6.446" Properties=species:S:1:pos:R:3 pbc="T T T"
Zn 0.000 0.000 0.000
Zn 0.000 3.223 3.223
Zn 3.223 0.000 3.223
Zn 3.223 3.223 0.000
Co 1.612 1.612 4.835
Co 1.612 4.835 1.612
Co 4.835 1.612 1.612
Co 4.835 4.835 4.835
Bi 0.000 0.000 3.223
Bi 0.000 3.223 0.000
Bi 3.223 0.000 0.000
Bi 3.223 3.223 3.223
W 1.612 1.612 1.612
W 1.612 4.835 4.835
W 4.835 1.612 4.835
W 4.835 4.835 1.612
```

## Properties
Crystal system ... cubic
Total magnetic moment ... 0.53 μB per formula unit
SG ... F-43m
Theoretical density ... 12.8 g/cm³

---

Entry 10:
Here is ZrCoBiW after structural relaxation from OQMD. Energies are from PBE.

Cell and atoms, written as extended XYZ:
```
16
Lattice="6.623 0.000 0.000 0.000 6.623 0.000 0.000 0.000 6.623" Properties=species:S:1:pos:R:3 pbc="T T T"
Zr 0.000 0.000 0.000
Zr 0.000 3.312 3.312
Zr 3.312 0.000 3.312
Zr 3.312 3.312 0.000
Co 1.656 1.656 4.967
Co 1.656 4.967 1.656
Co 4.967 1.656 1.656
Co 4.967 4.967 4.967
Bi 0.000 0.000 3.312
Bi 0.000 3.312 0.000
Bi 3.312 0.000 0.000
Bi 3.312 3.312 3.312
W 1.656 1.656 1.656
W 1.656 4.967 4.967
W 4.967 1.656 4.967
W 4.967 4.967 1.656
```

## Properties
Crystal system ... cubic
Total magnetic moment ... 0.06 μB per formula unit
SG ... F-43m
Theoretical density ... 12.4 g/cm³

---

Entry 11:
Here is Y2CoBi after structural relaxation from OQMD. Energies are from PBE.

Cell and atoms, written as extended XYZ:
```
16
Lattice="7.189 0.000 0.000 0.000 7.189 0.000 0.000 0.000 7.189" Properties=species:S:1:pos:R:3 pbc="T T T"
Y 0.000 0.000 0.000
Y 0.000 3.595 3.595
Y 1.797 1.797 1.797
Y 1.797 5.392 5.392
Y 3.595 0.000 3.595
Y 3.595 3.595 0.000
Y 5.392 1.797 5.392
Y 5.392 5.392 1.797
Co 1.797 1.797 5.392
Co 1.797 5.392 1.797
Co 5.392 1.797 1.797
Co 5.392 5.392 5.392
Bi 0.000 0.000 3.595
Bi 0.000 3.595 0.000
Bi 3.595 0.000 0.000
Bi 3.595 3.595 3.595
```

## Properties
Crystal system ... cubic
Total magnetic moment ... 0.69 μB per formula unit
SG ... F-43m
Theoretical density ... 8.0 g/cm³

---

Entry 12:
Here is YCo2Bi after structural relaxation from OQMD. Energies are from PBE.

Cell and atoms, written as extended XYZ:
```
16
Lattice="6.729 0.000 0.000 0.000 6.729 0.000 0.000 0.000 6.729" Properties=species:S:1:pos:R:3 pbc="T T T"
Y 0.000 0.000 0.000
Y 0.000 3.365 3.365
Y 3.365 0.000 3.365
Y 3.365 3.365 0.000
Co 0.000 0.000 3.365
Co 0.000 3.365 0.000
Co 1.682 1.682 1.682
Co 1.682 5.047 5.047
Co 3.365 0.000 0.000
Co 3.365 3.365 3.365
Co 5.047 1.682 5.047
Co 5.047 5.047 1.682
Bi 1.682 1.682 5.047
Bi 1.682 5.047 1.682
Bi 5.047 1.682 1.682
Bi 5.047 5.047 5.047
```

## Properties
Crystal system ... cubic
Total magnetic moment ... 2.65 μB per formula unit
SG ... F-43m
Theoretical density ... 9.1 g/cm³

---

no.,calculated total energy (eV per cell)
1,-47.94
2,-188.79
3,-63.84
4,-46.23
5,-134.24
6,-86.88
7,-92.79
8,-87.60
9,-88.14
10,-122.77
11,-93.39
12,-93.85